# 1
# Tl2SbBr6, relaxed, DFT PBE-GGA
# Formation energy without anion corrections = -5.82 eV/f.u.
# Magnetic moment = 0.000 μB per formula unit
data_Tl2SbBr6
_cell_length_a 13.140
_cell_length_b 7.627
_cell_length_c 6.888
_cell_angle_alpha 90.00
_cell_angle_beta 91.53
_cell_angle_gamma 90.00
_space_group_name_H-M_alt 'C 1 2/m 1'
_space_group_IT_number 12
_space_group_name_Hall '-C 2y'
loop_
_atom_site_label
_atom_site_type_symbol
_atom_site_fract_x
_atom_site_fract_y
_atom_site_fract_z
Tl1 Tl 0.172 0.000 0.146
Sb1 Sb 0.000 0.500 0.000
Br1 Br 0.084 0.246 0.779
Br2 Br 0.172 0.500 0.227

# 2
# CaMg2Pd3, relaxed, DFT PBE-GGA
# VASP energy = -4.142 eV/atom
# Magnetic moment = 0.000 μB per formula unit
data_CaMg2Pd3
_cell_length_a 3.332
_cell_length_b 3.332
_cell_length_c 9.724
_cell_angle_alpha 90.00
_cell_angle_beta 90.00
_cell_angle_gamma 90.00
_space_group_name_H-M_alt 'P 4/m m m'
_space_group_IT_number 123
_space_group_name_Hall '-P 4 2'
loop_
_atom_site_label
_atom_site_type_symbol
_atom_site_fract_x
_atom_site_fract_y
_atom_site_fract_z
Ca1 Ca 0.000 0.000 0.000
Mg1 Mg 0.000 0.000 0.344
Pd1 Pd 0.500 0.500 0.195
Pd2 Pd 0.500 0.500 0.500

# 3
# LaInSb2Te, relaxed, DFT PBE-GGA
# Formation energy without anion corrections = 0.09 eV/f.u.
# Magnetic moment = 0.000 μB per formula unit
data_LaInSb2Te
_cell_length_a 5.611
_cell_length_b 5.611
_cell_length_c 5.757
_cell_angle_alpha 90.00
_cell_angle_beta 90.00
_cell_angle_gamma 90.00
_space_group_name_H-M_alt 'P 4/m m m'
_space_group_IT_number 123
_space_group_name_Hall '-P 4 2'
loop_
_atom_site_label
_atom_site_type_symbol
_atom_site_fract_x
_atom_site_fract_y
_atom_site_fract_z
La1 La 0.000 0.000 0.000
In1 In 0.500 0.500 0.500
Sb1 Sb 0.000 0.500 0.500
Te1 Te 0.500 0.500 0.000

Copy entry 2 word for word.
# CaMg2Pd3, relaxed, DFT PBE-GGA
# VASP energy = -4.142 eV/atom
# Magnetic moment = 0.000 μB per formula unit
data_CaMg2Pd3
_cell_length_a 3.332
_cell_length_b 3.332
_cell_length_c 9.724
_cell_angle_alpha 90.00
_cell_angle_beta 90.00
_cell_angle_gamma 90.00
_space_group_name_H-M_alt 'P 4/m m m'
_space_group_IT_number 123
_space_group_name_Hall '-P 4 2'
loop_
_atom_site_label
_atom_site_type_symbol
_atom_site_fract_x
_atom_site_fract_y
_atom_site_fract_z
Ca1 Ca 0.000 0.000 0.000
Mg1 Mg 0.000 0.000 0.344
Pd1 Pd 0.500 0.500 0.195
Pd2 Pd 0.500 0.500 0.500